A geometry-optimized PrDy2TmTh structure, computed with PBE-GGA.

a b c (Å): 5.6502 8.6921 7.0732
angles (deg): 90.03 90.00 90.00
Fractional positions:
Pr (0.0000, 0.0000, 0.0000)
Pr (0.0000, 0.0000, 0.5000)
Dy (0.4995, 0.6776, 0.9997)
Dy (0.4995, 0.3224, 0.5003)
Dy (0.5005, 0.6776, 0.4997)
Dy (0.5005, 0.3224, 0.0003)
Tm (0.9999, 0.5000, 0.7500)
Tm (0.0001, 0.5000, 0.2500)
Th (0.5000, 0.0000, 0.2500)
Th (0.5000, 0.0000, 0.7500)

Calculated values
Volume: 34.7 Å³ per atom
DOS at the Fermi energy: 17.9 states/eV/cell
Energy relative to the elements: 0.325 eV/atom